VASP calculation (PBE-GGA) on a relaxed CsAlHg2Pb crystal.

Summary:
Its space group is P4/mmm. Its magnetization is 0.0 Bohr magnetons per cell. The calculation puts the formation energy at 0.094 eV per formula unit.

a b c (Å): 5.594 5.594 5.581
angles (deg): 90.00 90.00 90.00
Fractional coordinates of all 5 atoms:
Cs 0.500 0.500 0.500
Hg 0.500 0.000 0.000
Hg 0.000 0.500 0.000
Pb 0.000 0.000 0.500
Al 0.000 0.000 0.000